(i)
Entry from the Alexandria database: a geometry-optimized LaTaBi3 structure (GGA-PBE).

Cell: 5.988 5.988 5.988 Å, 90.00 90.00 90.00°
Last column: magnetic moment on the atom in μB.
Positions (direct):
La 0.000 0.000 0.000  0.00
Bi 0.500 0.000 0.000  0.06
Bi 0.000 0.000 0.500  0.09
Bi 0.000 0.500 0.000  0.08
Ta 0.500 0.500 0.500  -2.17

Computed properties:
Crystal system: cubic
DOS at the Fermi energy (states/eV/cell): 7.672
SG: Pm-3m

(ii)
Entry from the Alexandria database: a geometry-optimized LaTaBi3 structure (GGA-PBE).

Cell: 5.527 5.527 5.527 Å, 90.00 90.00 90.00°
Positions (direct):
Bi 0.000 0.000 0.500
Bi 0.000 0.500 0.000
Bi 0.500 0.000 0.000
La 0.500 0.500 0.500
Ta 0.000 0.000 0.000

Computed properties:
Crystal system: cubic
DOS at the Fermi energy (states/eV/cell): 2.744
SG: Pm-3m

Which one sits at the bottom of the stability order? (i) does.

(i)
Entry from the Alexandria database: a geometry-optimized La2TbBi structure (GGA-PBE).

Cell: 4.355 4.355 7.106 Å, 90.00 90.00 90.00°
Positions (direct):
Tb 0.500 0.500 0.000
La 0.000 0.000 0.729
La 0.000 0.000 0.271
Bi 0.500 0.500 0.500

Computed properties:
Crystal system: tetragonal
DOS at the Fermi energy (states/eV/cell): 5.783
SG: P4/mmm

(ii)
Entry from the Alexandria database: a geometry-optimized La2TbBi structure (GGA-PBE).

Cell: 3.618 3.618 12.752 Å, 81.84 81.84 60.00°
Positions (direct):
Tb 0.500 0.500 0.500
La 0.088 0.088 0.737
La 0.912 0.912 0.263
Bi 0.000 0.000 0.000

Computed properties:
Crystal system: trigonal
DOS at the Fermi energy (states/eV/cell): 5.661
SG: R-3m

Which one sits at the bottom of the stability order? (ii) does.

(i)
Entry from the Alexandria database: a geometry-optimized La2TbBi structure (GGA-PBE).

Cell: 4.691 4.678 12.291 Å, 90.00 101.06 90.00°
Positions (direct):
Tb 0.305 0.250 0.611
Tb 0.695 0.750 0.389
Bi 0.824 0.750 0.652
Bi 0.176 0.250 0.348
La 0.577 0.250 0.138
La 0.046 0.750 0.125
La 0.423 0.750 0.862
La 0.954 0.250 0.875

Computed properties:
Crystal system: monoclinic
DOS at the Fermi energy (states/eV/cell): 8.153
SG: P2_1/m

(ii)
Entry from the Alexandria database: a geometry-optimized La2TbBi structure (GGA-PBE).

Cell: 4.204 4.204 10.151 Å, 78.05 78.05 60.00°
Last column: magnetic moment on the atom in μB.
Positions (direct):
Tb 0.500 0.500 0.501  0.29
Bi 0.667 0.667 0.000  0.00
La 0.261 0.261 0.216  0.05
La 0.072 0.072 0.784  0.08

Computed properties:
Crystal system: trigonal
DOS at the Fermi energy (states/eV/cell): 5.112
SG: R3m

Which one sits at the bottom of the stability order? (ii) does.

(i)
Entry from the Alexandria database: a geometry-optimized LaTb2Bi structure (GGA-PBE).

Cell: 4.093 4.093 10.065 Å, 78.27 78.27 60.00°
Last column: magnetic moment on the atom in μB.
Positions (direct):
Bi 0.666 0.666 0.001  0.00
Tb 0.068 0.068 0.796  0.20
Tb 0.265 0.265 0.205  -0.14
La 0.501 0.501 0.498  0.01

Computed properties:
Crystal system: trigonal
DOS at the Fermi energy (states/eV/cell): 3.893
SG: R3m

(ii)
Entry from the Alexandria database: a geometry-optimized LaTb2Bi structure (GGA-PBE).

Cell: 4.894 4.982 4.982 Å, 90.00 90.00 90.00°
Positions (direct):
Tb 0.000 0.000 0.500
Tb 0.000 0.500 0.000
La 0.500 0.500 0.500
Bi 0.500 0.000 0.000

Computed properties:
Crystal system: tetragonal
DOS at the Fermi energy (states/eV/cell): 4.593
SG: P4/mmm

Which one sits at the bottom of the stability order? (i) does.

(i)
Entry from the Alexandria database: a geometry-optimized LaTb2Bi structure (GGA-PBE).

Cell: 4.073 4.073 7.545 Å, 90.00 90.00 90.00°
Positions (direct):
La 0.500 0.500 0.000
Tb 0.000 0.000 0.719
Tb 0.000 0.000 0.281
Bi 0.500 0.500 0.500

Computed properties:
Crystal system: tetragonal
DOS at the Fermi energy (states/eV/cell): 6.611
SG: P4/mmm

(ii)
Entry from the Alexandria database: a geometry-optimized LaTb2Bi structure (GGA-PBE).

Cell: 3.589 3.589 12.366 Å, 81.66 81.66 60.00°
Positions (direct):
Bi 0.000 0.000 0.000
Tb 0.087 0.087 0.740
Tb 0.913 0.913 0.260
La 0.500 0.500 0.500

Computed properties:
Crystal system: trigonal
DOS at the Fermi energy (states/eV/cell): 2.583
SG: R-3m

Which one sits at the bottom of the stability order? (ii) does.

(i)
Entry from the Alexandria database: a geometry-optimized LaTc3Bi structure (GGA-PBE).

Cell: 5.036 5.036 5.036 Å, 90.00 90.00 90.00°
Last column: magnetic moment on the atom in μB.
Positions (direct):
Tc 0.500 0.000 0.000  0.61
Tc 0.000 0.000 0.500  1.02
Tc 0.000 0.500 0.000  0.92
La 0.500 0.500 0.500  0.00
Bi 0.000 0.000 0.000  -0.04

Computed properties:
Crystal system: cubic
DOS at the Fermi energy (states/eV/cell): 7.178
SG: Pm-3m

(ii)
Entry from the Alexandria database: a geometry-optimized LaTc3Bi structure (GGA-PBE).

Cell: 4.880 4.880 4.880 Å, 90.00 90.00 90.00°
Last column: magnetic moment on the atom in μB.
Positions (direct):
Bi 0.500 0.500 0.500  -0.08
Tc 0.000 0.500 0.000  0.65
Tc 0.000 0.000 0.500  0.59
Tc 0.500 0.000 0.000  0.57
La 0.000 0.000 0.000  -0.02

Computed properties:
Crystal system: cubic
DOS at the Fermi energy (states/eV/cell): 8.808
SG: Pm-3m

Which one sits at the bottom of the stability order? (ii) does.

(i)
Entry from the Alexandria database: a geometry-optimized LaTc2Bi2 structure (GGA-PBE).

Cell: 8.318 8.318 3.285 Å, 90.00 90.00 90.00°
Positions (direct):
Tc 0.862 0.362 0.500
Tc 0.638 0.862 0.500
Tc 0.138 0.638 0.500
Tc 0.362 0.138 0.500
La 0.500 0.500 0.000
La 0.000 0.000 0.000
Bi 0.147 0.353 0.000
Bi 0.353 0.853 0.000
Bi 0.853 0.647 0.000
Bi 0.647 0.147 0.000

Computed properties:
Crystal system: tetragonal
DOS at the Fermi energy (states/eV/cell): 15.476
SG: P4/mbm

(ii)
Entry from the Alexandria database: a geometry-optimized LaTc2Bi2 structure (GGA-PBE).

Cell: 4.703 4.703 6.533 Å, 68.91 68.91 90.00°
Positions (direct):
Bi 0.636 0.636 0.728
Bi 0.364 0.364 0.272
Tc 0.750 0.250 0.500
Tc 0.250 0.750 0.500
La 0.000 0.000 0.000

Computed properties:
Crystal system: tetragonal
DOS at the Fermi energy (states/eV/cell): 5.251
SG: I4/mmm

Which one sits at the bottom of the stability order? (i) does.

(i)
Entry from the Alexandria database: a geometry-optimized La5Bi2Te2 structure (GGA-PBE).

Cell: 8.631 8.581 9.256 Å, 117.61 90.00 90.00°
Positions (direct):
Bi 0.357 0.143 0.000
Bi 0.857 0.357 0.000
Bi 0.143 0.643 0.000
Bi 0.643 0.857 0.000
La 0.657 0.022 0.723
La 0.343 0.702 0.723
La 0.157 0.478 0.277
La 0.500 0.500 0.000
La 0.000 0.000 0.000
La 0.157 0.202 0.723
La 0.657 0.298 0.277
La 0.343 0.978 0.277
La 0.843 0.522 0.723
La 0.843 0.798 0.277
Te 0.000 0.197 0.394
Te 0.500 0.697 0.394
Te 0.500 0.303 0.606
Te 0.000 0.803 0.606

Computed properties:
Crystal system: orthorhombic
DOS at the Fermi energy (states/eV/cell): 18.583
SG: Cmce

(ii)
Entry from the Alexandria database: a geometry-optimized La5Bi2Te2 structure (GGA-PBE).

Cell: 8.683 8.602 9.221 Å, 117.80 90.00 90.00°
Positions (direct):
La 0.658 0.292 0.267
La 0.342 0.975 0.267
La 0.842 0.792 0.267
La 0.500 0.500 0.000
La 0.658 0.025 0.733
La 0.842 0.525 0.733
La 0.158 0.475 0.267
La 0.342 0.708 0.733
La 0.158 0.208 0.733
La 0.000 0.000 0.000
Te 0.645 0.856 0.000
Te 0.145 0.644 0.000
Te 0.355 0.144 0.000
Te 0.855 0.356 0.000
Bi 0.500 0.299 0.599
Bi 0.000 0.799 0.599
Bi 0.000 0.201 0.401
Bi 0.500 0.701 0.401

Computed properties:
Crystal system: orthorhombic
DOS at the Fermi energy (states/eV/cell): 19.502
SG: Cmce

Which one sits at the bottom of the stability order? (ii) does.

(i)
Entry from the Alexandria database: a geometry-optimized La4BiTe2 structure (GGA-PBE).

Cell: 6.077 6.077 9.114 Å, 70.52 70.52 90.00°
Positions (direct):
Te 0.391 0.391 0.218
Te 0.609 0.609 0.782
La 0.201 0.201 0.598
La 0.799 0.799 0.402
La 0.500 0.000 0.000
La 0.000 0.500 0.000
Bi 0.000 0.000 0.000

Computed properties:
Crystal system: tetragonal
DOS at the Fermi energy (states/eV/cell): 8.299
SG: I4/mmm

(ii)
Entry from the Alexandria database: a geometry-optimized La4BiTe2 structure (GGA-PBE).

Cell: 4.488 7.751 15.216 Å, 90.00 90.00 106.83°
Last column: magnetic moment on the atom in μB.
Positions (direct):
La 0.500 0.000 0.500  0.02
La 0.060 0.120 0.250  0.06
La 0.500 0.000 0.000  0.02
La 0.940 0.880 0.750  0.06
La 0.221 0.442 0.872  0.05
La 0.779 0.558 0.128  0.05
La 0.779 0.558 0.372  0.05
La 0.221 0.442 0.628  0.05
Te 0.141 0.281 0.061  0.00
Te 0.859 0.719 0.561  0.00
Te 0.141 0.281 0.439  0.00
Te 0.859 0.719 0.939  0.00
Bi 0.400 0.799 0.250  -0.01
Bi 0.600 0.201 0.750  -0.01

Computed properties:
Crystal system: orthorhombic
DOS at the Fermi energy (states/eV/cell): 12.502
SG: Cmcm

Which one sits at the bottom of the stability order? (i) does.

(i)
Entry from the Alexandria database: a geometry-optimized LaBi3Te structure (GGA-PBE).

Cell: 5.827 5.827 5.827 Å, 90.00 90.00 90.00°
Positions (direct):
Bi 0.000 0.500 0.000
Bi 0.000 0.000 0.500
Bi 0.500 0.000 0.000
La 0.500 0.500 0.500
Te 0.000 0.000 0.000

Computed properties:
Crystal system: cubic
DOS at the Fermi energy (states/eV/cell): 3.537
SG: Pm-3m

(ii)
Entry from the Alexandria database: a geometry-optimized LaBi3Te structure (GGA-PBE).

Cell: 6.158 6.158 6.158 Å, 90.00 90.00 90.00°
Last column: magnetic moment on the atom in μB.
Positions (direct):
La 0.000 0.000 0.000  0.07
Bi 0.000 0.000 0.500  0.10
Bi 0.000 0.500 0.000  0.09
Bi 0.500 0.000 0.000  0.08
Te 0.500 0.500 0.500  0.51

Computed properties:
Crystal system: cubic
DOS at the Fermi energy (states/eV/cell): 7.917
SG: Pm-3m

Which one sits at the bottom of the stability order? (ii) does.

(i)
Entry from the Alexandria database: a geometry-optimized LaBiTe3 structure (GGA-PBE).

Cell: 5.822 5.822 5.822 Å, 90.00 90.00 90.00°
Positions (direct):
Te 0.000 0.500 0.000
Te 0.500 0.000 0.000
Te 0.000 0.000 0.500
La 0.500 0.500 0.500
Bi 0.000 0.000 0.000

Computed properties:
Crystal system: cubic
DOS at the Fermi energy (states/eV/cell): 0.000
SG: Pm-3m

(ii)
Entry from the Alexandria database: a geometry-optimized LaBiTe3 structure (GGA-PBE).

Cell: 4.616 8.653 9.713 Å, 96.49 103.75 90.00°
Positions (direct):
Bi 0.561 0.701 0.121
Bi 0.439 0.299 0.879
Te 0.338 0.009 0.677
Te 0.819 0.392 0.637
Te 0.662 0.991 0.323
Te 0.968 0.782 0.937
Te 0.032 0.218 0.063
Te 0.181 0.608 0.363
La 0.209 0.243 0.418
La 0.791 0.757 0.582

Computed properties:
Crystal system: monoclinic
SG: C2/m

Which one sits at the bottom of the stability order? (i) does.

(i)
Entry from the Alexandria database: a geometry-optimized LaThBiTe structure (GGA-PBE).

Cell: 5.568 5.568 5.568 Å, 60.00 60.00 60.00°
Last column: magnetic moment on the atom in μB.
Positions (direct):
Te 0.000 0.000 0.000  -0.01
La 0.750 0.750 0.750  0.05
Th 0.250 0.250 0.250  0.08
Bi 0.500 0.500 0.500  0.00

Computed properties:
Crystal system: cubic
DOS at the Fermi energy (states/eV/cell): 3.664
SG: F-43m

(ii)
Entry from the Alexandria database: a geometry-optimized LaThBiTe structure (GGA-PBE).

Cell: 4.399 4.399 8.574 Å, 90.00 104.86 119.99°
Positions (direct):
La 0.130 0.963 0.109
Bi 0.302 0.549 0.867
Th 0.473 0.135 0.623
Te 0.972 0.384 0.371

Computed properties:
Crystal system: trigonal
DOS at the Fermi energy (states/eV/cell): 1.986
SG: R3m

Which one sits at the bottom of the stability order? (i) does.

(i)
Entry from the Alexandria database: a geometry-optimized LaThBi2 structure (GGA-PBE).

Cell: 3.973 3.973 8.074 Å, 90.00 90.00 90.00°
Positions (direct):
La 0.500 0.500 0.500
Th 0.500 0.500 0.000
Bi 0.000 0.000 0.757
Bi 0.000 0.000 0.243

Computed properties:
Crystal system: tetragonal
DOS at the Fermi energy (states/eV/cell): 4.445
SG: P4/mmm

(ii)
Entry from the Alexandria database: a geometry-optimized LaThBi2 structure (GGA-PBE).

Cell: 4.641 4.641 8.067 Å, 73.28 73.28 60.00°
Positions (direct):
Bi 0.748 0.748 0.755
Bi 0.252 0.252 0.245
La 0.500 0.500 0.500
Th 0.000 0.000 0.000

Computed properties:
Crystal system: trigonal
DOS at the Fermi energy (states/eV/cell): 2.343
SG: R-3m

Which one sits at the bottom of the stability order? (i) does.